Record 1
Compound: Ho3Tm2Th
Source: the Alexandria database
Functional: PBE-GGA
Structure: optimized geometry

The space group is C2/c (No. 15) and the conventional cell measures 8.8941, 9.6300 and 8.9271 Å, with angles of 90.00, 102.34 and 90.00 degrees. The distinct sites, in fractional coordinates, are Ho at (0.0000, 0.0810, 0.2500), Ho at (0.2499, 0.0837, 0.0010), Tm at (0.1253, 0.2505, 0.6241) and Th at (0.0000, 0.4179, 0.2500).

The energy above the lowest structure with this stoichiometry is 0.063 eV per atom. For the density, the calculation gives 9.47 g/cm3. Its formation energy is 0.10 eV per atom. As for the energy: -118.02 eV/cell.

Record 2
Compound: V7Ir2C2
Source: the Alexandria database
Functional: PBE-GGA
Structure: optimized geometry

The space group is Imm2 (No. 44) and the conventional cell measures 2.8589, 13.7181 and 6.8672 Å, with angles of 90.00, 90.00 and 90.00 degrees. The distinct sites, in fractional coordinates, are V at (0.0000, 0.0000, 0.0000), V at (0.0000, 0.1466, 0.4216), V at (0.0000, 0.3180, 0.6165), V at (0.0000, 0.3361, 0.2509), Ir at (0.0000, 0.0000, 0.6598), Ir at (0.0000, 0.5000, 0.8046) and C at (0.0000, 0.2464, 0.9202).

For the density, the calculation gives 9.43 g/cm3. Its formation energy is -0.29 eV per atom. As for the energy: -206.29 eV/cell.

Record 3
Compound: YRh3N
Source: the Alexandria database
Functional: PBE-GGA
Structure: optimized geometry

The space group is Pm-3m (No. 221) and the conventional cell measures 4.2005, 4.2005 and 4.2005 Å, with angles of 90.00, 90.00 and 90.00 degrees. The distinct sites, in fractional coordinates, are Y at (0.0000, 0.0000, 0.0000), Rh at (0.0000, 0.5000, 0.5000) and N at (0.5000, 0.5000, 0.5000).

For the formation energy without anion corrections, the calculation gives -34 kJ per mole of atoms. The energy above the lowest structure with this stoichiometry is 0.000 eV per atom. For the density, the calculation gives 9.22 g/cm3. As for the energy: -38.59 eV/cell.

Record 4
Compound: Zr2V2Ir
Source: the Alexandria database
Functional: PBE-GGA
Structure: optimized geometry

The space group is P4/mbm (No. 127) and the conventional cell measures 6.4112, 6.4112 and 4.3460 Å, with angles of 90.00, 90.00 and 90.00 degrees. The distinct sites, in fractional coordinates, are Zr at (0.1735, 0.3265, 0.0000), V at (0.1372, 0.6372, 0.5000) and Ir at (0.0000, 0.0000, 0.5000).

For the density, the calculation gives 8.86 g/cm3. Its formation energy is -0.16 eV per atom. As for the energy: -90.03 eV/cell.